(1)
Compound: TlTe3PbAu
Source: the Open Quantum Materials Database
Functional: GGA-PBE
Structure: relaxed

The calculation puts the uncorrected energy at -3.260 eV/atom.

The space group is Cmcm (No. 63) and the conventional cell measures 4.219, 14.236 and 12.224 Å, with angles of 90.00, 90.00 and 90.00 degrees. Symmetry generates all atoms from Tl at (0.000, 0.246, 0.250), Te at (0.000, 0.164, 0.544), Te at (0.000, 0.446, 0.750), Pb at (0.000, 0.500, 0.000) and Au at (0.000, 0.074, 0.750).

---

(2)
Compound: TlTe4PbAu3
Source: the Open Quantum Materials Database
Functional: GGA-PBE
Structure: relaxed

The calculation puts the uncorrected energy at -3.129 eV/atom.

The space group is P-43m (No. 215) and the conventional cell measures 6.711, 6.711 and 6.711 Å, with angles of 90.00, 90.00 and 90.00 degrees. Symmetry generates all atoms from Tl at (0.000, 0.000, 0.000), Te at (0.246, 0.246, 0.246), Pb at (0.500, 0.500, 0.500) and Au at (0.000, 0.500, 0.500).

---

- uncorrected energy of number 1 (TlTe3PbAu)?
  -3.260 eV/atom

---

- Which of these has the highest uncorrected energy?
  TlTe4PbAu3

---

- What is the uncorrected energy in the second record?
  -3.129 eV/atom

---

What did the first record say?
Compound: TlTe3PbAu
Source: the Open Quantum Materials Database
Functional: GGA-PBE
Structure: relaxed

The calculation puts the uncorrected energy at -3.260 eV/atom.

The space group is Cmcm (No. 63) and the conventional cell measures 4.219, 14.236 and 12.224 Å, with angles of 90.00, 90.00 and 90.00 degrees. Symmetry generates all atoms from Tl at (0.000, 0.246, 0.250), Te at (0.000, 0.164, 0.544), Te at (0.000, 0.446, 0.750), Pb at (0.000, 0.500, 0.000) and Au at (0.000, 0.074, 0.750).